Entry 1:
Here is a relaxed Sc4MnOs crystal from the Alexandria database. Energies are from GGA-PBE.

Values from the calculation:
The calculation puts the formation energy at 0.592 eV per atom.

Cell: 5.4664 5.4664 5.4664 Å, 60.00 60.00 60.00°
Each line ends with the local moment (μB).
Positions (direct):
Sc  0.8778  0.3741  0.3741  -0.22
Sc  0.3741  0.3741  0.8778  -0.22
Sc  0.3741  0.8778  0.3741  -0.22
Sc  0.3741  0.3741  0.3741  -0.22
Mn  0.7500  0.7500  0.7500  3.73
Os  0.0000  0.0000  0.0000  -0.05



Entry 2:
Here is a relaxed ScMnOs crystal from the Alexandria database. Energies are from GGA-PBE.

Values from the calculation:
As for the energy relative to the lowest polymorph listed for this composition: 0 meV/atom. The calculation puts the formation energy at -0.331 eV per atom.

Cell: 5.1088 5.1088 5.1088 Å, 90.10 119.37 120.52°
Each line ends with the local moment (μB).
Positions (direct):
Sc  0.2500  0.1257  0.8757  -0.19
Sc  0.7500  0.8743  0.1243  -0.19
Mn  0.0000  0.5000  0.5000  1.93
Mn  0.5000  0.0000  0.5000  1.93
Os  0.5000  0.5000  0.5000  0.08
Os  0.0000  0.5000  0.0000  0.08



Entry 3:
Here is a relaxed ScMn2Os crystal from the Alexandria database. Energies are from GGA-PBE.

Values from the calculation:
As for the energy relative to the lowest polymorph listed for this composition: 45 meV/atom. The calculation puts the formation energy at 0.090 eV per atom.

Cell: 5.1099 5.1099 5.1099 Å, 145.41 129.65 62.53°
Each line ends with the local moment (μB).
Positions (direct):
Mn  0.9857  0.9857  0.0000  1.88
Mn  0.5143  0.5143  0.0000  1.88
Os  0.7500  0.2500  0.5000  -0.17
Sc  0.2500  0.7500  0.5000  -0.13



Values for calculated volume, Å³ per atom, ordered as above
19.3; 15.7; 14.4